# Cd2InSe | Alexandria via LeMat-Bulk | PBE-GGA | optimized geometry
data_Cd2InSe
_symmetry_space_group_name_H-M 'P 1'
_symmetry_Int_Tables_number 1
_symmetry_space_group_name_Hall 'P 1'
_cell_length_a 3.6880
_cell_length_b 3.6880
_cell_length_c 7.2249
_cell_angle_alpha 90.00
_cell_angle_beta 90.00
_cell_angle_gamma 90.00
loop_
_atom_site_label
_atom_site_type_symbol
_atom_site_fract_x
_atom_site_fract_y
_atom_site_fract_z
_atom_site_occupancy
Cd1 Cd 0.0000 0.0000 0.0000 1
Cd2 Cd 0.5000 0.5000 0.2468 1
In1 In 0.0000 0.0000 0.5419 1
Se1 Se 0.5000 0.5000 0.7745 1
# Energy relative to the lowest polymorph listed for this composition: 2.85 kcal/mol of atoms
# E_tot: -2.073 eV per atom
# Formation energy without anion corrections: -59 meV/atom
# Space-group type: P4mm, No. 99

# Sc2ZnTe | Alexandria via LeMat-Bulk | PBE-GGA | optimized geometry
data_Sc2ZnTe
_symmetry_space_group_name_H-M 'P 1'
_symmetry_Int_Tables_number 1
_symmetry_space_group_name_Hall 'P 1'
_cell_length_a 3.9984
_cell_length_b 4.0376
_cell_length_c 5.7536
_cell_angle_alpha 90.00
_cell_angle_beta 110.29
_cell_angle_gamma 90.00
loop_
_atom_site_label
_atom_site_type_symbol
_atom_site_fract_x
_atom_site_fract_y
_atom_site_fract_z
_atom_site_occupancy
Sc1 Sc 0.0000 0.0000 0.0000 1
Sc2 Sc 0.2860 0.5000 0.5704 1
Zn1 Zn 0.7546 0.0000 0.5054 1
Te1 Te 0.5616 0.5000 0.1237 1
# Energy relative to the lowest polymorph listed for this composition: 0.00 kcal/mol of atoms
# E_tot: -4.892 eV per atom
# Formation energy without anion corrections: -623 meV/atom
# Space-group type: Pm, No. 6

# La3TbEr2Sb6 | Alexandria via LeMat-Bulk | PBE-GGA | optimized geometry
data_La3TbEr2Sb6
_symmetry_space_group_name_H-M 'P 1'
_symmetry_Int_Tables_number 1
_symmetry_space_group_name_Hall 'P 1'
_cell_length_a 7.8020
_cell_length_b 7.8020
_cell_length_c 7.7713
_cell_angle_alpha 99.63
_cell_angle_beta 99.63
_cell_angle_gamma 119.99
loop_
_atom_site_label
_atom_site_type_symbol
_atom_site_fract_x
_atom_site_fract_y
_atom_site_fract_z
_atom_site_occupancy
La1 La 0.0000 0.0000 0.0000 1
La2 La 0.3339 0.6661 0.0000 1
La3 La 0.6661 0.3339 0.0000 1
Tb1 Tb 0.5000 0.5000 0.5000 1
Er1 Er 0.1668 0.8332 0.5000 1
Er2 Er 0.8332 0.1668 0.5000 1
Sb1 Sb 0.0863 0.4214 0.2643 1
Sb2 Sb 0.2432 0.2432 0.7351 1
Sb3 Sb 0.4214 0.0863 0.2643 1
Sb4 Sb 0.5786 0.9137 0.7357 1
Sb5 Sb 0.7568 0.7568 0.2649 1
Sb6 Sb 0.9137 0.5786 0.7357 1
# E_tot: -5.628 eV per atom
# Formation energy without anion corrections: -1189 meV/atom
# Space-group type: C2/m, No. 12

# SeBr | Alexandria via LeMat-Bulk | PBE-GGA | optimized geometry
data_SeBr
_symmetry_space_group_name_H-M 'P 1'
_symmetry_Int_Tables_number 1
_symmetry_space_group_name_Hall 'P 1'
_cell_length_a 9.4063
_cell_length_b 9.4063
_cell_length_c 9.4063
_cell_angle_alpha 91.67
_cell_angle_beta 91.67
_cell_angle_gamma 160.32
loop_
_atom_site_label
_atom_site_type_symbol
_atom_site_fract_x
_atom_site_fract_y
_atom_site_fract_z
_atom_site_occupancy
Se1 Se 0.0714 0.2771 0.3485 1
Se2 Se 0.2771 0.9286 0.2057 1
Se3 Se 0.7229 0.0714 0.7943 1
Se4 Se 0.9286 0.7229 0.6515 1
Br1 Br 0.0888 0.8042 0.8931 1
Br2 Br 0.1958 0.0888 0.2846 1
Br3 Br 0.8042 0.9112 0.7154 1
Br4 Br 0.9112 0.1958 0.1069 1
# E_tot: -2.325 eV per atom
# Formation energy without anion corrections: 254 meV/atom
# Space-group type: I4/m, No. 87

# TbAlBr | Alexandria via LeMat-Bulk | PBE-GGA | optimized geometry
data_TbAlBr
_symmetry_space_group_name_H-M 'P 1'
_symmetry_Int_Tables_number 1
_symmetry_space_group_name_Hall 'P 1'
_cell_length_a 11.7805
_cell_length_b 11.7805
_cell_length_c 11.7805
_cell_angle_alpha 20.67
_cell_angle_beta 20.67
_cell_angle_gamma 20.67
loop_
_atom_site_label
_atom_site_type_symbol
_atom_site_fract_x
_atom_site_fract_y
_atom_site_fract_z
_atom_site_occupancy
Tb1 Tb 0.0602 0.0602 0.0602 1
Tb2 Tb 0.9398 0.9398 0.9398 1
Al1 Al 0.3396 0.3396 0.3396 1
Al2 Al 0.6604 0.6604 0.6604 1
Br1 Br 0.2232 0.2232 0.2232 1
Br2 Br 0.7768 0.7768 0.7768 1
# E_tot: -4.419 eV per atom
# Formation energy without anion corrections: -1070 meV/atom
# Space-group type: R-3m, No. 166

# NbSbNO2 | Alexandria via LeMat-Bulk | PBE-GGA | optimized geometry
data_NbSbNO2
_symmetry_space_group_name_H-M 'P 1'
_symmetry_Int_Tables_number 1
_symmetry_space_group_name_Hall 'P 1'
_cell_length_a 4.0172
_cell_length_b 4.0172
_cell_length_c 4.2278
_cell_angle_alpha 90.00
_cell_angle_beta 90.00
_cell_angle_gamma 90.00
loop_
_atom_site_label
_atom_site_type_symbol
_atom_site_fract_x
_atom_site_fract_y
_atom_site_fract_z
_atom_site_occupancy
Nb1 Nb 0.0000 0.0000 0.0000 1
Sb1 Sb 0.5000 0.5000 0.5000 1
N1 N 0.0000 0.0000 0.5000 1
O1 O 0.0000 0.5000 0.0000 1
O2 O 0.5000 0.0000 0.0000 1
# E_tot: -7.418 eV per atom
# Formation energy without anion corrections: -931 meV/atom
# Space-group type: P4/mmm, No. 123

# Ac2LaTbHo | Alexandria via LeMat-Bulk | PBE-GGA | optimized geometry
data_Ac2LaTbHo
_symmetry_space_group_name_H-M 'P 1'
_symmetry_Int_Tables_number 1
_symmetry_space_group_name_Hall 'P 1'
_cell_length_a 6.4933
_cell_length_b 9.0038
_cell_length_c 6.7267
_cell_angle_alpha 90.00
_cell_angle_beta 90.00
_cell_angle_gamma 90.00
loop_
_atom_site_label
_atom_site_type_symbol
_atom_site_fract_x
_atom_site_fract_y
_atom_site_fract_z
_atom_site_occupancy
Ac1 Ac 0.2500 0.2032 0.2155 1
Ac2 Ac 0.2500 0.7968 0.2155 1
Ac3 Ac 0.7500 0.2032 0.7845 1
Ac4 Ac 0.7500 0.7968 0.7845 1
La1 La 0.2500 0.5000 0.9232 1
La2 La 0.7500 0.5000 0.0768 1
Tb1 Tb 0.2500 0.0000 0.6878 1
Tb2 Tb 0.7500 0.0000 0.3122 1
Ho1 Ho 0.0000 0.5000 0.5000 1
Ho2 Ho 0.5000 0.5000 0.5000 1
# E_tot: -4.212 eV per atom
# Space-group type: Pmma, No. 51

# Ba3PdAu | Alexandria via LeMat-Bulk | PBE-GGA | optimized geometry
data_Ba3PdAu
_symmetry_space_group_name_H-M 'P 1'
_symmetry_Int_Tables_number 1
_symmetry_space_group_name_Hall 'P 1'
_cell_length_a 9.8388
_cell_length_b 9.8388
_cell_length_c 4.4876
_cell_angle_alpha 90.01
_cell_angle_beta 90.01
_cell_angle_gamma 71.65
loop_
_atom_site_label
_atom_site_type_symbol
_atom_site_fract_x
_atom_site_fract_y
_atom_site_fract_z
_atom_site_occupancy
Ba1 Ba 0.1228 0.1228 0.0014 1
Ba2 Ba 0.2272 0.5237 0.0016 1
Ba3 Ba 0.4763 0.7728 0.9984 1
Ba4 Ba 0.5328 0.1694 0.4998 1
Ba5 Ba 0.8306 0.4672 0.5002 1
Ba6 Ba 0.8772 0.8772 0.9986 1
Pd1 Pd 0.1811 0.3217 0.5015 1
Pd2 Pd 0.6783 0.8189 0.4985 1
Au1 Au 0.1790 0.8210 0.5000 1
Au2 Au 0.7520 0.2480 0.0000 1
# Energy relative to the lowest polymorph listed for this composition: 0.12 kcal/mol of atoms
# E_tot: -3.329 eV per atom
# Space-group type: C2, No. 5